Record 1
The following is a DFT calculation (PBE) of a relaxed SrHgPO crystal.

```
data_SrHgPO
_chemical_formula_sum 'Sr2 Hg2 P2 O2'
_cell_length_a 3.6648
_cell_length_b 6.5175
_cell_length_c 7.4928
_cell_angle_alpha 90.00
_cell_angle_beta 90.00
_cell_angle_gamma 90.00
_symmetry_space_group_name_H-M 'P m c 21'
_symmetry_Int_Tables_number 26
_symmetry_space_group_name_Hall 'P 2c -2'
loop_
_atom_site_label
_atom_site_type_symbol
_atom_site_fract_x
_atom_site_fract_y
_atom_site_fract_z
Sr1 Sr 0.0000 0.0759 0.0000
Hg1 Hg 0.5000 0.4080 0.3822
P1 P 0.5000 0.2740 0.7035
O1 O 0.0000 0.2000 0.2939
```

## Properties
VASP energy: -3.83 eV/atom
ρ: 6.220 Mg/m³

---

Record 2
The following is a DFT calculation (PBE) of a relaxed Cu5Ag4 crystal.

```
data_Cu5Ag4
_chemical_formula_sum 'Cu10 Ag8'
_cell_length_a 13.8385
_cell_length_b 2.8291
_cell_length_c 6.7855
_cell_angle_alpha 90.00
_cell_angle_beta 96.94
_cell_angle_gamma 90.00
_symmetry_space_group_name_H-M 'C 1 2/m 1'
_symmetry_Int_Tables_number 12
_symmetry_space_group_name_Hall '-C 2y'
loop_
_atom_site_label
_atom_site_type_symbol
_atom_site_fract_x
_atom_site_fract_y
_atom_site_fract_z
Cu1 Cu 0.0000 0.0000 0.0000
Cu2 Cu 0.0587 0.5000 0.3132
Cu3 Cu 0.2197 0.0000 0.3487
Ag1 Ag 0.1063 0.0000 0.6498
Ag2 Ag 0.1637 0.5000 0.0114
```

## Properties
ΔH_f (0 K): 0.10 eV per atom
ρ: 9.435 Mg/m³
offset from the most stable computed form: 56.1 meV/atom

---

Record 3
The following is a DFT calculation (PBE) of a relaxed Hf4InFeC2 crystal.

```
data_Hf4InFeC2
_chemical_formula_sum 'Hf4 In1 Fe1 C2'
_cell_length_a 3.2698
_cell_length_b 3.2698
_cell_length_c 14.1554
_cell_angle_alpha 90.00
_cell_angle_beta 90.00
_cell_angle_gamma 120.00
_symmetry_space_group_name_H-M 'P -6 m 2'
_symmetry_Int_Tables_number 187
_symmetry_space_group_name_Hall 'P -6 2'
loop_
_atom_site_label
_atom_site_type_symbol
_atom_site_fract_x
_atom_site_fract_y
_atom_site_fract_z
Hf1 Hf 0.0000 0.0000 0.1378
Hf2 Hf 0.6667 0.3333 0.3203
In1 In 0.0000 0.0000 0.5000
Fe1 Fe 0.6667 0.3333 0.0000
C1 C 0.3333 0.6667 0.2370
```

## Properties
VASP energy: -9.19 eV/atom
ρ: 11.512 Mg/m³